The following is a GGA-PBEsol calculation of a relaxed structure of GaFe3, from Alexandria.

Results
For the total energy, the calculation gives -7.677 eV per atom. As for the crystal system: cubic. Its total magnetization is 6.855 μB per formula unit.

Cell and atoms, written as extended XYZ:
```
4
Lattice="3.594 0.000 0.000 0.000 3.594 0.000 0.000 0.000 3.594" Properties=species:S:1:pos:R:3 pbc="T T T"
Ga 0.000 0.000 0.000
Fe 0.000 1.797 1.797
Fe 1.797 0.000 1.797
Fe 1.797 1.797 0.000
```

The following is a GGA-PBEsol calculation of a relaxed structure of Mn2AgPtCl, from Alexandria.

Results
For the total energy, the calculation gives -5.116 eV per atom. As for the crystal system: tetragonal. Its total magnetization is 9.091 μB per formula unit.

Cell and atoms, written as extended XYZ:
```
5
Lattice="4.929 0.000 0.000 0.000 4.929 0.000 0.000 0.000 4.824" Properties=species:S:1:pos:R:3 pbc="T T T"
Mn 0.000 2.465 0.000
Mn 2.465 0.000 0.000
Ag 0.000 0.000 0.000
Pt 0.000 0.000 2.412
Cl 2.465 2.465 2.412
```

The following is a GGA-PBEsol calculation of a relaxed structure of Ca2TcAs, from Alexandria.

Results
For the total energy, the calculation gives -5.078 eV per atom. As for the crystal system: orthorhombic. Its total magnetization is 1.230 μB per formula unit.

Cell and atoms, written as extended XYZ:
```
4
Lattice="3.278 0.000 0.000 0.000 4.036 0.000 0.000 0.000 6.196" Properties=species:S:1:pos:R:3 pbc="T T T"
Ca 0.000 0.000 1.525
Ca 0.000 0.000 4.671
Tc 1.639 2.018 3.098
As 1.639 2.018 0.000
```

The following is a GGA-PBEsol calculation of a relaxed structure of Mg4CoRu, from Alexandria.

Results
For the total energy, the calculation gives -3.417 eV per atom. As for the crystal system: cubic. Its total magnetization is 2.274 μB per formula unit.

Cell and atoms, written as extended XYZ:
```
6
Lattice="0.000 3.706 3.706 3.706 0.000 3.706 3.706 3.706 0.000" Properties=species:S:1:pos:R:3 pbc="T T T"
Mg 0.925 0.925 0.925
Mg 2.781 2.781 0.925
Mg 2.781 0.925 2.781
Mg 0.925 2.781 2.781
Co 3.706 3.706 3.706
Ru 5.559 5.559 5.559
```

The following is a GGA-PBEsol calculation of a relaxed structure of TiZnSb2I, from Alexandria.

Results
For the total energy, the calculation gives -3.904 eV per atom. As for the crystal system: tetragonal. Its total magnetization is 0.000 μB per formula unit.

Cell and atoms, written as extended XYZ:
```
5
Lattice="5.229 0.000 0.000 0.000 5.229 0.000 0.000 0.000 5.395" Properties=species:S:1:pos:R:3 pbc="T T T"
Ti 0.000 0.000 0.000
Zn 2.615 2.615 2.698
Sb 0.000 2.615 0.000
Sb 2.615 0.000 0.000
I 0.000 0.000 2.698
```

The following is a GGA-PBEsol calculation of a relaxed structure of RbTaAgCl2, from Alexandria.

Results
For the total energy, the calculation gives -3.971 eV per atom. As for the crystal system: tetragonal. Its total magnetization is 2.536 μB per formula unit.

Cell and atoms, written as extended XYZ:
```
5
Lattice="4.759 0.000 0.000 0.000 4.759 0.000 0.000 0.000 7.919" Properties=species:S:1:pos:R:3 pbc="T T T"
Rb 0.000 0.000 0.000
Ta 0.000 0.000 3.959
Ag 2.379 2.379 0.000
Cl 0.000 2.379 3.959
Cl 2.379 0.000 3.959
```

The following is a GGA-PBEsol calculation of a relaxed structure of BeRe2, from Alexandria.

Results
For the total energy, the calculation gives -10.171 eV per atom. As for the crystal system: orthorhombic. The energy relative to the lowest polymorph listed for this composition comes out at 309.7 meV per atom. Its total magnetization is 0.000 μB per formula unit.

Cell and atoms, written as extended XYZ:
```
6
Lattice="1.403 -6.600 0.000 1.403 6.600 0.000 0.000 0.000 4.203" Properties=species:S:1:pos:R:3 pbc="T T T"
Be 1.403 5.160 3.152
Be 1.403 -5.160 1.051
Re 1.403 3.686 1.051
Re 1.403 0.716 3.152
Re 1.403 -0.716 1.051
Re 1.403 -3.686 3.152
```

The following is a GGA-PBEsol calculation of a relaxed structure of K2AgHg, from Alexandria.

Results
For the total energy, the calculation gives -1.566 eV per atom. As for the crystal system: monoclinic. Its total magnetization is 0.000 μB per formula unit.

Cell and atoms, written as extended XYZ:
```
4
Lattice="6.406 -2.062 0.000 6.406 2.062 0.000 -2.353 0.000 4.983" Properties=species:S:1:pos:R:3 pbc="T T T"
K 0.000 0.000 0.000
K 0.952 0.000 3.500
Ag 9.218 0.000 1.332
Hg 4.536 0.000 2.163
```

The following is a GGA-PBEsol calculation of a relaxed structure of Fe2SbRh, from Alexandria.

Results
For the total energy, the calculation gives -7.353 eV per atom. As for the crystal system: trigonal. Its total magnetization is 5.264 μB per formula unit.

Cell and atoms, written as extended XYZ:
```
4
Lattice="1.489 0.859 7.729 -1.489 0.859 7.729 0.000 -1.719 7.729" Properties=species:S:1:pos:R:3 pbc="T T T"
Fe 0.000 0.000 0.000
Fe 0.000 0.000 6.034
Sb 0.000 0.000 11.733
Rh 0.000 0.000 17.372
```

The following is a GGA-PBEsol calculation of a relaxed structure of RbInSb2I, from Alexandria.

Results
For the total energy, the calculation gives -2.950 eV per atom. As for the crystal system: tetragonal. The energy relative to the lowest polymorph listed for this composition comes out at 0.0 meV per atom. Its total magnetization is 0.906 μB per formula unit.

Cell and atoms, written as extended XYZ:
```
5
Lattice="5.557 0.000 0.000 0.000 5.557 0.000 0.000 0.000 6.538" Properties=species:S:1:pos:R:3 pbc="T T T"
Rb 0.000 0.000 0.000
In 2.779 2.779 3.269
Sb 0.000 2.779 3.269
Sb 2.779 0.000 3.269
I 2.779 2.779 0.000
```

The following is a GGA-PBEsol calculation of a relaxed structure of RbBeB2Cl, from Alexandria.

Results
For the total energy, the calculation gives -1.565 eV per atom. As for the crystal system: tetragonal. Its total magnetization is 1.423 μB per formula unit.

Cell and atoms, written as extended XYZ:
```
5
Lattice="5.418 0.000 0.000 0.000 5.418 0.000 0.000 0.000 5.675" Properties=species:S:1:pos:R:3 pbc="T T T"
Rb 0.000 0.000 0.000
Be 2.709 2.709 2.837
B 0.000 2.709 0.000
B 2.709 0.000 0.000
Cl 0.000 0.000 2.837
```

The following is a GGA-PBEsol calculation of a relaxed structure of ZrMnSb2, from Alexandria.

Results
For the total energy, the calculation gives -7.213 eV per atom. As for the crystal system: monoclinic. Its total magnetization is 3.214 μB per formula unit.

Cell and atoms, written as extended XYZ:
```
4
Lattice="5.317 -1.891 0.000 5.317 1.891 0.000 -0.490 0.000 4.196" Properties=species:S:1:pos:R:3 pbc="T T T"
Zr 0.000 0.000 0.000
Mn 8.421 0.000 1.890
Sb 2.544 0.000 3.986
Sb 5.729 0.000 2.179
```

The following is a GGA-PBEsol calculation of a relaxed structure of Be5Ru3, from Alexandria.

Results
For the total energy, the calculation gives -6.526 eV per atom. As for the crystal system: orthorhombic. Its total magnetization is 0.000 μB per formula unit.

Cell and atoms, written as extended XYZ:
```
8
Lattice="2.798 -3.689 0.000 2.798 3.689 0.000 0.000 0.000 3.832" Properties=species:S:1:pos:R:3 pbc="T T T"
Be 0.000 0.000 0.000
Be 1.399 1.845 0.000
Be 1.643 0.000 1.916
Be 1.399 -1.845 0.000
Be 3.954 0.000 1.916
Ru 2.798 2.126 1.916
Ru 2.798 0.000 0.000
Ru 2.798 -2.126 1.916
```